DFT (GGA-PBE) results for a relaxed Fe2TcGe4 crystal.

The structure belongs to space group C2/m (No. 12); the cell edges are 13.0412, 2.9937 and 6.1485 Å and the angles 90.00°, 113.10° and 90.00°. The distinct sites, in fractional coordinates, are Fe at (0.2463, 0.0000, 0.3047), Tc at (0.0000, 0.0000, 0.0000), Ge at (0.1037, 0.5000, 0.3384) and Ge at (0.1561, 0.0000, 0.8519).

The density comes out at 7.5 g/cm3. The value obtained for the formation energy is 0.0254 eV/atom. The density of states at the Fermi level is 0.890 states/eV/atom.

DFT (GGA-PBE) results for a relaxed FeTcGe3 crystal.

The structure belongs to space group Pm-3m (No. 221); the cell edges are 4.7300, 4.7300 and 4.7300 Å and the angles 90.00°, 90.00° and 90.00°. The distinct sites, in fractional coordinates, are Fe at (0.0000, 0.0000, 0.0000), Tc at (0.5000, 0.5000, 0.5000) and Ge at (0.0000, 0.5000, 0.5000).

The density comes out at 5.8 g/cm3. The value obtained for the formation energy is 0.7565 eV/atom. The calculation puts the energy above the most stable polymorph in this dataset at 0.775 eV/atom. The density of states at the Fermi level is 0.253 states/eV/atom.

DFT (GGA-PBE) results for a relaxed Fe2TcGe crystal.

The structure belongs to space group P4/mmm (No. 123); the cell edges are 3.6906, 3.6906 and 3.8853 Å and the angles 90.00°, 90.00° and 90.00°. The distinct sites, in fractional coordinates, are Fe at (0.0000, 0.5000, 0.0000), Tc at (0.0000, 0.0000, 0.5000) and Ge at (0.5000, 0.5000, 0.5000).

The density comes out at 8.9 g/cm3. The value obtained for the formation energy is 0.0135 eV/atom. The density of states at the Fermi level is 0.737 states/eV/atom.

DFT (GGA-PBE) results for a relaxed FeTcGe2 crystal.

The structure belongs to space group R-3m (No. 166, hexagonal axes); the cell edges are 2.9257, 2.9257 and 26.3036 Å and the angles 90.00°, 90.00° and 120.00°. The distinct sites, in fractional coordinates, are Fe at (0.0000, 0.0000, 0.0000), Tc at (0.0000, 0.0000, 0.5000) and Ge at (0.0000, 0.0000, 0.0921).

The density comes out at 7.6 g/cm3. The value obtained for the formation energy is 0.2703 eV/atom. The calculation puts the energy above the most stable polymorph in this dataset at 0.273 eV/atom. The density of states at the Fermi level is 1.082 states/eV/atom.

DFT (GGA-PBE) results for a relaxed FeTc2Ge crystal.

The structure belongs to space group R3m (No. 160, hexagonal axes); the cell edges are 4.1887, 4.1887 and 12.2255 Å and the angles 90.00°, 90.00° and 120.00°. The distinct sites, in fractional coordinates, are Fe at (0.0000, 0.0000, 0.0000), Tc at (0.0000, 0.0000, 0.5871), Tc at (0.0000, 0.0000, 0.7811) and Ge at (0.0000, 0.0000, 0.1983).

The density comes out at 8.7 g/cm3. The value obtained for the formation energy is 0.2705 eV/atom. The density of states at the Fermi level is 1.020 states/eV/atom.

DFT (GGA-PBE) results for a relaxed FeTc2Ge2 crystal.

The structure belongs to space group P4/mbm (No. 127); the cell edges are 6.8475, 6.8475 and 3.1965 Å and the angles 90.00°, 90.00° and 90.00°. The distinct sites, in fractional coordinates, are Fe at (0.0000, 0.0000, 0.0000), Tc at (0.1406, 0.3594, 0.0000) and Ge at (0.1601, 0.6601, 0.5000).

The density comes out at 8.8 g/cm3. The value obtained for the formation energy is 0.3243 eV/atom. The calculation puts the energy above the most stable polymorph in this dataset at 0.225 eV/atom. The density of states at the Fermi level is 1.691 states/eV/atom.

DFT (GGA-PBE) results for a relaxed FeTcGe2 crystal.

The structure belongs to space group Fm-3m (No. 225); the cell edges are 5.9839, 5.9839 and 5.9839 Å and the angles 90.00°, 90.00° and 90.00°. The distinct sites, in fractional coordinates, are Fe at (0.0000, 0.0000, 0.0000), Tc at (0.0000, 0.0000, 0.5000) and Ge at (0.2500, 0.2500, 0.2500).

The density comes out at 9.3 g/cm3. The value obtained for the formation energy is 0.0051 eV/atom. The calculation puts the energy above the most stable polymorph in this dataset at 0.008 eV/atom. The density of states at the Fermi level is 0.752 states/eV/atom.

DFT (GGA-PBE) results for a relaxed Fe2TcGe crystal.

The structure belongs to space group I-42d (No. 122); the cell edges are 5.3276, 5.3276 and 10.1134 Å and the angles 90.00°, 90.00° and 90.00°. The distinct sites, in fractional coordinates, are Fe at (0.2427, 0.2500, 0.1250), Tc at (0.0000, 0.0000, 0.0000) and Ge at (0.0000, 0.0000, 0.5000).

The density comes out at 6.5 g/cm3. The value obtained for the formation energy is 1.0072 eV/atom. The density of states at the Fermi level is 0.835 states/eV/atom.

| no. | total DFT energy (no corrections) (hartree per atom) | total magnetic moment (μB per cell) |
| --- | --- | --- |
| 1 | -0.239 | 1.37 |
| 2 | -0.212 | 3.09 |
| 3 | -0.293 | 5.65 |
| 4 | -0.248 | 8.36 |
| 5 | -0.301 | 7.43 |
| 6 | -0.271 | 0.02 |
| 7 | -0.258 | 2.05 |
| 8 | -0.256 | 0.00 |